A relaxed structure of YBi2Mo2, computed with PBE-GGA.

- Total moment: 0.001 μB per formula unit
- Uncorrected energy: -6.780 eV per atom
- Polymorph energy (0 for the lowest one): 0.85 eV per formula unit
- Formation enthalpy at 0 K: 9.2 kcal/mol of atoms

Lattice parameters (Å, degrees): 8.230 8.230 3.463 90.00 90.00 90.00
Space group P4/mbm (No. 127)
One atom of each set of equivalent atoms:
Y (0.000, 0.000, 0.000) (multiplicity 2)
Bi (0.180, 0.320, 0.500) (multiplicity 4)
Mo (0.102, 0.602, 0.000) (multiplicity 4)


A relaxed structure of CsTl3Tc, computed with PBE-GGA.

- Total moment: 0.005 μB per formula unit
- Uncorrected energy: -3.507 eV per atom
- Polymorph energy (0 for the lowest one): 0.00 eV per formula unit
- Formation enthalpy at 0 K: 3.6 kcal/mol of atoms

Lattice parameters (Å, degrees): 5.458 5.458 5.458 90.00 90.00 90.00
Space group Pm-3m (No. 221)
One atom of each set of equivalent atoms:
Cs (0.000, 0.000, 0.000) (multiplicity 1)
Tl (0.000, 0.500, 0.500) (multiplicity 3)
Tc (0.500, 0.500, 0.500) (multiplicity 1)


A relaxed structure of CaMgAu3, computed with PBE-GGA.

- Total moment: 0.000 μB per formula unit
- Uncorrected energy: -3.312 eV per atom
- Polymorph energy (0 for the lowest one): 0.00 eV per formula unit
- Formation enthalpy at 0 K: -14.4 kcal/mol of atoms

Lattice parameters (Å, degrees): 8.999 5.664 8.435 90.00 97.42 90.00
Space group P2_1/c (No. 14)
One atom of each set of equivalent atoms:
Ca (0.115, 0.117, 0.203) (multiplicity 4)
Mg (0.435, 0.675, 0.649) (multiplicity 4)
Au (0.126, 0.636, 0.046) (multiplicity 4)
Au (0.273, 0.551, 0.359) (multiplicity 4)
Au (0.388, 0.166, 0.565) (multiplicity 4)


A relaxed structure of TbPr2TlO, computed with PBE-GGA.

- Total moment: 0.000 μB per formula unit
- Uncorrected energy: -5.640 eV per atom
- Formation energy without anion corrections: -6.7 eV/f.u.

Lattice parameters (Å, degrees): 5.060 5.060 4.788 90.00 90.00 90.00
Space group P4/mmm (No. 123)
One atom of each set of equivalent atoms:
Tb (0.000, 0.000, 0.000) (multiplicity 1)
Pr (0.000, 0.500, 0.500) (multiplicity 2)
Tl (0.500, 0.500, 0.000) (multiplicity 1)
O (0.000, 0.000, 0.500) (multiplicity 1)


A relaxed structure of Nd3Pu2UN6, computed with PBE-GGA.

- Total moment: 10.176 μB per formula unit
- Uncorrected energy: -10.052 eV per atom
- Formation energy without anion corrections: -16.4 eV/f.u.

Lattice parameters (Å, degrees): 6.137 10.616 6.158 90.00 109.40 90.00
Space group C2/m (No. 12)
One atom of each set of equivalent atoms:
Nd (0.000, 0.000, 0.000) (multiplicity 2)
Nd (0.000, 0.331, 0.000) (multiplicity 4)
Pu (0.000, 0.166, 0.500) (multiplicity 4)
U (0.000, 0.500, 0.500) (multiplicity 2)
N (0.231, 0.342, 0.717) (multiplicity 8)
N (0.245, 0.500, 0.282) (multiplicity 4)


A relaxed structure of Pt2PbCl, computed with PBE-GGA.

- Total moment: 0.000 μB per formula unit
- Uncorrected energy: -4.310 eV per atom
- Polymorph energy (0 for the lowest one): 0.75 eV per formula unit
- Formation energy without anion corrections: 0.4 eV/f.u.

Lattice parameters (Å, degrees): 12.494 3.007 4.743 90.00 112.02 90.00
Space group C2/m (No. 12)
One atom of each set of equivalent atoms:
Pt (0.236, 0.000, 0.236) (multiplicity 4)
Pb (0.000, 0.500, 0.000) (multiplicity 2)
Cl (0.000, 0.000, 0.500) (multiplicity 2)


A relaxed structure of TaTlCr2, computed with PBE-GGA.

- Total moment: 1.764 μB per formula unit
- Uncorrected energy: -7.651 eV per atom
- Polymorph energy (0 for the lowest one): 1.34 eV per formula unit
- Formation enthalpy at 0 K: 16.5 kcal/mol of atoms

Lattice parameters (Å, degrees): 6.444 6.444 6.444 90.00 90.00 90.00
Space group F-43m (No. 216)
One atom of each set of equivalent atoms:
Ta (0.000, 0.000, 0.000) (multiplicity 4)
Tl (0.250, 0.250, 0.750) (multiplicity 4)
Cr (0.000, 0.000, 0.500) (multiplicity 4)
Cr (0.250, 0.250, 0.250) (multiplicity 4)


A relaxed structure of LiAc2TmHg6, computed with PBE-GGA.

- Total moment: 0.000 μB per formula unit
- Uncorrected energy: -1.957 eV per atom
- Formation enthalpy at 0 K: -7.3 kcal/mol of atoms

Lattice parameters (Å, degrees): 7.277 7.359 7.366 90.58 118.83 119.49
Space group P-1 (No. 2)
One atom of each set of equivalent atoms:
Li (0.000, 0.000, 0.000) (multiplicity 1)
Ac (0.395, 0.197, 0.800) (multiplicity 2)
Tm (0.000, 0.500, 0.500) (multiplicity 1)
Hg (0.017, 0.675, 0.869) (multiplicity 2)
Hg (0.189, 0.867, 0.339) (multiplicity 2)
Hg (0.470, 0.337, 0.322) (multiplicity 2)


A relaxed structure of HgPtSeN2, computed with PBE-GGA.

- Total moment: 0.000 μB per formula unit
- Uncorrected energy: -4.264 eV per atom
- Polymorph energy (0 for the lowest one): 0.00 eV per formula unit
- Formation energy without anion corrections: 5.2 eV/f.u.

Lattice parameters (Å, degrees): 3.783 3.783 8.821 90.00 90.00 90.00
Space group P4/mmm (No. 123)
One atom of each set of equivalent atoms:
Hg (0.000, 0.000, 0.000) (multiplicity 1)
Pt (0.500, 0.500, 0.500) (multiplicity 1)
Se (0.500, 0.500, 0.000) (multiplicity 1)
N (0.000, 0.500, 0.500) (multiplicity 2)


A relaxed structure of Ba2MgBe, computed with PBE-GGA.

- Total moment: 0.000 μB per formula unit
- Uncorrected energy: -1.964 eV per atom
- Polymorph energy (0 for the lowest one): 0.21 eV per formula unit
- Formation enthalpy at 0 K: 7.6 kcal/mol of atoms

Lattice parameters (Å, degrees): 8.328 8.328 8.328 90.00 90.00 90.00
Space group Fm-3m (No. 225)
One atom of each set of equivalent atoms:
Ba (0.250, 0.250, 0.250) (multiplicity 8)
Mg (0.000, 0.000, 0.000) (multiplicity 4)
Be (0.000, 0.000, 0.500) (multiplicity 4)


A relaxed structure of La6GeN4, computed with PBE-GGA.

- Total moment: 0.000 μB per formula unit
- Uncorrected energy: -7.287 eV per atom
- Formation energy without anion corrections: -12.7 eV/f.u.

Lattice parameters (Å, degrees): 3.829 12.559 19.727 90.00 90.00 90.00
Space group Cmcm (No. 63)
One atom of each set of equivalent atoms:
La (0.000, 0.000, 0.000) (multiplicity 4)
La (0.000, 0.145, 0.250) (multiplicity 4)
La (0.000, 0.278, 0.578) (multiplicity 8)
La (0.000, 0.457, 0.149) (multiplicity 8)
Ge (0.000, 0.169, 0.750) (multiplicity 4)
N (0.000, 0.083, 0.123) (multiplicity 8)
N (0.000, 0.359, 0.040) (multiplicity 8)


A relaxed structure of NaLi2Tl8, computed with PBE-GGA.

- Total moment: 0.000 μB per formula unit
- Uncorrected energy: -2.240 eV per atom
- Polymorph energy (0 for the lowest one): 0.36 eV per formula unit
- Formation enthalpy at 0 K: -1.2 kcal/mol of atoms

Lattice parameters (Å, degrees): 8.715 13.435 5.418 90.00 107.76 90.00
Space group C2/m (No. 12)
One atom of each set of equivalent atoms:
Na (0.000, 0.000, 0.000) (multiplicity 2)
Li (0.000, 0.312, 0.500) (multiplicity 4)
Tl (0.000, 0.241, 0.000) (multiplicity 4)
Tl (0.115, 0.500, 0.814) (multiplicity 4)
Tl (0.202, 0.124, 0.603) (multiplicity 8)


A relaxed structure of SiTe3, computed with PBE-GGA.

- Total moment: 0.000 μB per formula unit
- Uncorrected energy: -3.337 eV per atom
- Formation energy without anion corrections: 1.5 eV/f.u.

Lattice parameters (Å, degrees): 3.979 5.006 11.324 90.00 90.00 90.00
Space group Cmmm (No. 65)
One atom of each set of equivalent atoms:
Si (0.000, 0.000, 0.000) (multiplicity 2)
Te (0.000, 0.000, 0.500) (multiplicity 2)
Te (0.000, 0.500, 0.185) (multiplicity 4)


A relaxed structure of CsSr3Ge, computed with PBE-GGA.

- Total moment: 0.000 μB per formula unit
- Uncorrected energy: -2.234 eV per atom
- Polymorph energy (0 for the lowest one): 0.00 eV per formula unit
- Formation enthalpy at 0 K: -3.0 kcal/mol of atoms

Lattice parameters (Å, degrees): 6.394 6.394 6.394 90.00 90.00 90.00
Space group Pm-3m (No. 221)
One atom of each set of equivalent atoms:
Cs (0.000, 0.000, 0.000) (multiplicity 1)
Sr (0.000, 0.500, 0.500) (multiplicity 3)
Ge (0.500, 0.500, 0.500) (multiplicity 1)


A relaxed structure of Rb4MnI6, computed with PBE-GGA.

- Total moment: 4.991 μB per formula unit
- Uncorrected energy: -3.220 eV per atom
- Formation energy without anion corrections: -13.1 eV/f.u.

Lattice parameters (Å, degrees): 17.641 8.712 17.674 90.00 110.43 90.00
Space group Cc (No. 9)
One atom of each set of equivalent atoms:
Rb (0.000, 0.148, 0.000) (multiplicity 4)
Rb (0.071, 0.318, 0.325) (multiplicity 4)
Rb (0.230, 0.287, 0.684) (multiplicity 4)
Rb (0.364, 0.159, 0.056) (multiplicity 4)
Mn (0.297, 0.237, 0.289) (multiplicity 4)
I (0.045, 0.254, 0.515) (multiplicity 4)
I (0.202, 0.286, 0.132) (multiplicity 4)
I (0.234, 0.001, 0.346) (multiplicity 4)
I (0.282, 0.486, 0.375) (multiplicity 4)
I (0.407, 0.228, 0.637) (multiplicity 4)
I (0.451, 0.208, 0.294) (multiplicity 4)


A relaxed structure of Cs2Sr2NbSe6, computed with PBE-GGA.

- Total moment: 0.002 μB per formula unit
- Uncorrected energy: -4.495 eV per atom
- Formation energy without anion corrections: -13.4 eV/f.u.

Lattice parameters (Å, degrees): 7.536 12.673 8.868 90.00 107.24 90.00
Space group C2/m (No. 12)
One atom of each set of equivalent atoms:
Cs (0.000, 0.177, 0.000) (multiplicity 4)
Sr (0.000, 0.335, 0.500) (multiplicity 4)
Nb (0.000, 0.000, 0.500) (multiplicity 2)
Se (0.209, 0.143, 0.684) (multiplicity 8)
Se (0.218, 0.000, 0.316) (multiplicity 4)


A relaxed structure of KReAs2, computed with PBE-GGA.

- Total moment: 0.000 μB per formula unit
- Uncorrected energy: -5.102 eV per atom
- Polymorph energy (0 for the lowest one): 2.83 eV per formula unit
- Formation enthalpy at 0 K: 14.1 kcal/mol of atoms

Lattice parameters (Å, degrees): 3.066 3.066 9.437 90.00 90.00 90.00
Space group P4mm (No. 99)
One atom of each set of equivalent atoms:
K (0.000, 0.000, 0.000) (multiplicity 1)
Re (0.500, 0.500, 0.307) (multiplicity 1)
As (0.000, 0.000, 0.441) (multiplicity 1)
As (0.500, 0.500, 0.713) (multiplicity 1)


A relaxed structure of BeSbCl4, computed with PBE-GGA.

- Total moment: 1.121 μB per formula unit
- Uncorrected energy: -1.647 eV per atom
- Formation energy without anion corrections: 5.4 eV/f.u.

Lattice parameters (Å, degrees): 8.249 8.249 8.249 90.00 90.00 90.00
Space group F-43m (No. 216)
One atom of each set of equivalent atoms:
Be (0.000, 0.000, 0.000) (multiplicity 4)
Sb (0.250, 0.250, 0.250) (multiplicity 4)
Cl (0.125, 0.125, 0.625) (multiplicity 16)


A relaxed structure of CoNi2S6, computed with PBE-GGA.

- Total moment: 0.000 μB per formula unit
- Uncorrected energy: -5.066 eV per atom
- Formation energy without anion corrections: -2.2 eV/f.u.

Lattice parameters (Å, degrees): 10.379 3.428 9.845 90.00 117.67 90.00
Space group C2/m (No. 12)
One atom of each set of equivalent atoms:
Co (0.000, 0.000, 0.000) (multiplicity 2)
Ni (0.167, 0.500, 0.333) (multiplicity 4)
S (0.048, 0.500, 0.883) (multiplicity 4)
S (0.117, 0.000, 0.452) (multiplicity 4)
S (0.214, 0.000, 0.211) (multiplicity 4)


A relaxed structure of Tm4Zn3Tc, computed with PBE-GGA.

- Total moment: 0.000 μB per formula unit
- Uncorrected energy: -4.299 eV per atom
- Formation enthalpy at 0 K: -6.7 kcal/mol of atoms

Lattice parameters (Å, degrees): 3.483 3.483 14.013 90.00 90.00 90.00
Space group P4/mmm (No. 123)
One atom of each set of equivalent atoms:
Tm (0.000, 0.000, 0.114) (multiplicity 2)
Tm (0.000, 0.000, 0.373) (multiplicity 2)
Zn (0.500, 0.500, 0.245) (multiplicity 2)
Zn (0.500, 0.500, 0.500) (multiplicity 1)
Tc (0.500, 0.500, 0.000) (multiplicity 1)